{"formula": "RbAsF6", "functional": "GGA-PBEsol", "state": "optimized geometry", "density_g_cm3": 3.7, "raw_formation_energy_ev_per_atom": -2.470, "crystal_system": "trigonal", "cell": [[5.0095, -0.0182, -0.0210], [-0.6262, 4.9703, -0.0210], [-0.6262, -0.7074, 4.9197]], "species": ["F", "F", "F", "F", "F", "F", "Rb", "As"], "fractional_positions": [[0.0793, 0.7261, 0.7817], [0.9207, 0.2739, 0.2183], [0.7261, 0.7817, 0.0793], [0.2183, 0.9207, 0.2739], [0.7817, 0.0793, 0.7261], [0.2739, 0.2183, 0.9207], [0.5000, 0.5000, 0.5000], [0.0000, 0.0000, 0.0000]]}